[1]
Crystalline Sc3RhBr at its relaxed geometry. Source: Alexandria via LeMat-Bulk, functional PBEsol.

a = 5.0028 Å, b = 5.0028 Å, c = 5.0028 Å
α = 90.00°, β = 90.00°, γ = 90.00°
Fractional positions:
Sc: 0.0000 0.0000 0.5000
Sc: 0.0000 0.5000 0.0000
Sc: 0.5000 0.0000 0.0000
Rh: 0.0000 0.0000 0.0000
Br: 0.5000 0.5000 0.5000

Calculated values
- total magnetization (μB/cell) = 0.00
- crystal system = cubic
- density of states at the Fermi level (states/eV per cell) = 5.2
- raw total energy (eV per formula unit) = -31.4
- ΔE_f (raw) (eV/atom) = -0.3162

---

[2]
Crystalline ScRh2Br at its relaxed geometry. Source: Alexandria via LeMat-Bulk, functional PBEsol.

a = 3.2923 Å, b = 3.3970 Å, c = 6.8076 Å
α = 90.00°, β = 90.00°, γ = 90.00°
Fractional positions:
Sc: 0.0000 0.0000 0.0000
Rh: 0.0000 0.0000 0.6379
Rh: 0.5000 0.5000 0.7665
Br: 0.5000 0.5000 0.2420

Calculated values
- total magnetization (μB/cell) = 0.00
- crystal system = orthorhombic
- density of states at the Fermi level (states/eV per cell) = 3.1
- raw total energy (eV per formula unit) = -26.1
- ΔE_f (raw) (eV/atom) = -0.3302

---

[3]
Crystalline RhSeBr at its relaxed geometry. Source: Alexandria via LeMat-Bulk, functional PBEsol.

a = 6.5498 Å, b = 6.5498 Å, c = 6.5498 Å
α = 152.70°, β = 152.70°, γ = 38.99°
Fractional positions:
Rh: 0.0000 0.0000 0.0000
Se: 0.3969 0.3969 0.0000
Br: 0.6552 0.6552 0.0000

Calculated values
- total magnetization (μB/cell) = 0.00
- crystal system = tetragonal
- density of states at the Fermi level (states/eV per cell) = 1.1
- raw total energy (eV per formula unit) = -13.8
- ΔE_f (raw) (eV/atom) = 0.0141

---

- The lowest raw total energy belongs to which entry?
  Sc3RhBr

---

- The lowest raw total energy belongs to which entry?
  Sc3RhBr

---

- total magnetization of number 1 (Sc3RhBr)?
  0.00 μB/cell

---

- What is the formula in the third record?
  RhSeBr